A plane-wave DFT calculation with meta-GGA SCAN was carried out for a PBEsol-optimized structure of CuNi9O10.

a = 5.054 Å, b = 5.792 Å, c = 6.505 Å
α = 102.37°, β = 97.53°, γ = 106.96°
Site moments in Bohr magnetons follow the coordinates.
Positions (direct):
O (0.501, 0.751, 0.497)  0.00
O (0.691, 0.655, 0.896)  0.02
Ni (0.799, 0.600, 0.602)  1.56
Ni (0.400, 0.300, 0.801)  -1.58
O (0.105, 0.450, 0.691)  0.02
O (0.499, 0.249, 0.503)  0.00
Cu (0.000, 0.500, 0.000)  -0.54
Ni (0.201, 0.400, 0.398)  1.56
O (0.694, 0.141, 0.895)  -0.04
O (0.306, 0.859, 0.105)  -0.04
Ni (0.600, 0.700, 0.199)  -1.58
O (0.899, 0.051, 0.300)  0.00
O (0.101, 0.949, 0.700)  0.00
Ni (0.603, 0.201, 0.201)  1.54
Ni (0.800, 0.100, 0.600)  -1.57
Ni (0.000, 0.000, 0.000)  1.58
Ni (0.200, 0.900, 0.400)  -1.57
O (0.309, 0.345, 0.104)  0.02
Ni (0.397, 0.799, 0.799)  1.54
O (0.895, 0.550, 0.309)  0.02

## Properties
DOS at the Fermi energy (states/eV/f.u.): 1.9
Space group: P-1, No. 2
Magnetization (μB per formula unit): 1.00
Formation energy without anion corrections (meV/atom): -1234